[1]
The following is a PBE-GGA calculation of LuHf2Nb after structural relaxation, from the Alexandria database.

Computed properties:
The calculation puts the density of states at the Fermi level at 5.47 states/eV/f.u. The symmetry is R-3m, No. 166. The calculation puts the formation energy at 0.34 eV/atom. The total energy is -8.285 eV/atom.

Cell: 3.166 3.166 10.982 Å, 81.71 81.71 60.00°
Element x y z (fractional)
Nb  0.500  0.500  0.500
Lu  0.000  0.000  0.000
Hf  0.095  0.095  0.715
Hf  0.905  0.905  0.285


[2]
The following is a PBE-GGA calculation of LuHf2Nb after structural relaxation, from the Alexandria database.

Computed properties:
The calculation puts the density of states at the Fermi level at 5.62 states/eV/f.u. The symmetry is Fm-3m, No. 225. The calculation puts the formation energy at 0.21 eV/atom. The total energy is -8.412 eV/atom.

Cell: 5.003 5.003 5.003 Å, 60.00 60.00 60.00°
Element x y z (fractional)
Nb  0.500  0.500  0.500
Lu  0.000  0.000  0.000
Hf  0.250  0.250  0.250
Hf  0.750  0.750  0.750


[3]
The following is a PBE-GGA calculation of LuHf2Nb after structural relaxation, from the Alexandria database.

Computed properties:
The calculation puts the density of states at the Fermi level at 5.14 states/eV/f.u. The symmetry is P4/mmm, No. 123. The calculation puts the formation energy at 0.20 eV/atom. The total energy is -8.420 eV/atom.

Cell: 4.413 4.505 4.505 Å, 90.00 90.00 90.00°
Element x y z (fractional)
Nb  0.500  0.500  0.500
Lu  0.500  0.000  0.000
Hf  0.000  0.000  0.500
Hf  0.000  0.500  0.000


[4]
The following is a PBE-GGA calculation of LuHfNb after structural relaxation, from the Alexandria database.

Computed properties:
The calculation puts the density of states at the Fermi level at 3.37 states/eV/f.u. The symmetry is P3m1, No. 156. The calculation puts the formation energy at 0.26 eV/atom. The total energy is -7.922 eV/atom.

Cell: 3.167 3.167 7.789 Å, 90.00 90.00 120.00°
Element x y z (fractional)
Nb  0.000  0.000  0.993
Lu  0.667  0.333  0.321
Hf  0.333  0.667  0.685


[5]
The following is a PBE-GGA calculation of LuHf2Nb after structural relaxation, from the Alexandria database.

Computed properties:
The calculation puts the density of states at the Fermi level at 6.20 states/eV/f.u. The symmetry is P4/mmm, No. 123. The calculation puts the formation energy at 0.10 eV/atom. The total energy is -8.522 eV/atom.

Cell: 3.555 3.555 7.253 Å, 90.00 90.00 90.00°
Element x y z (fractional)
Nb  0.500  0.500  0.000
Lu  0.500  0.500  0.500
Hf  0.000  0.000  0.795
Hf  0.000  0.000  0.205


[6]
The following is a PBE-GGA calculation of LuHfScNb after structural relaxation, from the Alexandria database.

Computed properties:
The calculation puts the density of states at the Fermi level at 6.52 states/eV/f.u. The symmetry is F-43m, No. 216. The calculation puts the formation energy at 0.20 eV/atom. The total energy is -7.519 eV/atom.

Cell: 5.016 5.016 5.016 Å, 60.00 60.00 60.00°
Element x y z (fractional)
Sc  0.000  0.000  0.000
Nb  0.500  0.500  0.500
Lu  0.750  0.750  0.750
Hf  0.250  0.250  0.250


[7]
The following is a PBE-GGA calculation of Nd2LuHf after structural relaxation, from the Alexandria database.

Computed properties:
The calculation puts the density of states at the Fermi level at 5.08 states/eV/f.u. The symmetry is P4/mmm, No. 123. The calculation puts the formation energy at 0.17 eV/atom. The total energy is -5.832 eV/atom.

Cell: 4.822 4.947 4.947 Å, 90.00 90.00 90.00°
Element x y z (fractional)
Nd  0.000  0.000  0.500
Nd  0.000  0.500  0.000
Lu  0.500  0.500  0.500
Hf  0.500  0.000  0.000


[8]
The following is a PBE-GGA calculation of Nd2LuHf after structural relaxation, from the Alexandria database.

Computed properties:
The calculation puts the density of states at the Fermi level at 4.32 states/eV/f.u. The symmetry is P4/mmm, No. 123. The calculation puts the formation energy at 0.21 eV/atom. The total energy is -5.791 eV/atom.

Cell: 4.038 4.038 7.285 Å, 90.00 90.00 90.00°
Element x y z (fractional)
Hf  0.500  0.500  0.500
Lu  0.500  0.500  0.000
Nd  0.000  0.000  0.728
Nd  0.000  0.000  0.272


[9]
The following is a PBE-GGA calculation of NdLuHf after structural relaxation, from the Alexandria database.

Computed properties:
The calculation puts the density of states at the Fermi level at 4.46 states/eV/f.u. The symmetry is I4mm, No. 107. The calculation puts the formation energy at 0.13 eV/atom. The total energy is -6.281 eV/atom.

Cell: 3.347 3.347 7.935 Å, 102.18 102.18 90.00°
Element x y z (fractional)
Nd  0.992  0.992  0.983
Lu  0.681  0.681  0.363
Hf  0.327  0.327  0.654


[10]
The following is a PBE-GGA calculation of Nd2LuHf after structural relaxation, from the Alexandria database.

Computed properties:
The calculation puts the density of states at the Fermi level at 5.15 states/eV/f.u. The symmetry is R-3m, No. 166. The calculation puts the formation energy at 0.37 eV/atom. The total energy is -5.631 eV/atom.

Cell: 3.366 3.366 12.309 Å, 82.14 82.14 60.00°
Element x y z (fractional)
Nd  0.086  0.086  0.742
Nd  0.914  0.914  0.258
Lu  0.500  0.500  0.500
Hf  0.000  0.000  0.000


[11]
The following is a PBE-GGA calculation of NdLuHfSc after structural relaxation, from the Alexandria database.

Computed properties:
The calculation puts the density of states at the Fermi level at 7.23 states/eV/f.u. The symmetry is F-43m, No. 216. The calculation puts the formation energy at 0.24 eV/atom. The total energy is -6.158 eV/atom.

Cell: 5.346 5.346 5.346 Å, 60.00 60.00 60.00°
Element x y z (fractional)
Sc  0.750  0.750  0.750
Hf  0.000  0.000  0.000
Lu  0.250  0.250  0.250
Nd  0.500  0.500  0.500


[12]
The following is a PBE-GGA calculation of LuHfNi2 after structural relaxation, from the Alexandria database.

Computed properties:
The calculation puts the density of states at the Fermi level at 4.15 states/eV/f.u. The symmetry is P4/mmm, No. 123. The calculation puts the formation energy at -0.47 eV/atom. The total energy is -6.983 eV/atom.

Cell: 3.240 3.240 6.548 Å, 90.00 90.00 90.00°
Element x y z (fractional)
Ni  0.000  0.000  0.782
Ni  0.000  0.000  0.218
Lu  0.500  0.500  0.500
Hf  0.500  0.500  0.000